The following is a PBE calculation of an optimized crystal structure of PbSe3, from Alexandria.

Computed properties:
ΔE_f (raw) = -0.1507 eV per atom
space group = Imm2 (44)
size of the total moment = 0.0 Bohr magnetons per cell

a = 4.3759 Å, b = 8.8295 Å, c = 6.1420 Å
α = 90.00°, β = 90.00°, γ = 90.00°
Last column: nearest neighbours and their distance in Å.
Atoms (fractional coordinates):
1 Pb 0.0000 0.0000 0.0000  6 Se 3.13-3.15
2 Pb 0.5000 0.5000 0.5000  6 Se 3.13-3.15
3 Se 0.0000 0.3026 0.2655  1 Se 2.40
4 Se 0.0000 0.5000 0.9959  2 Se 2.40
5 Se 0.0000 0.6974 0.2655  1 Se 2.40
6 Se 0.5000 0.0000 0.4959  2 Se 2.40
7 Se 0.5000 0.1974 0.7655  1 Se 2.40
8 Se 0.5000 0.8026 0.7655  1 Se 2.40